# DyBiAsO, optimized geometry, DFT PBE-GGA
data_DyBiAsO
_cell_length_a 4.2318
_cell_length_b 4.2318
_cell_length_c 9.9910
_cell_angle_alpha 90.00
_cell_angle_beta 90.00
_cell_angle_gamma 90.00
_symmetry_space_group_name_H-M 'P 4/n m m'
_symmetry_Int_Tables_number 129
loop_
_symmetry_equiv_pos_as_xyz
'x,y,z'
'-x,-y,-z'
'-y+1/2,x,z'
'y+1/2,-x,-z'
'-x+1/2,-y+1/2,z'
'x+1/2,y+1/2,-z'
'y,-x+1/2,z'
'-y,x+1/2,-z'
'x+1/2,-y,-z'
'-x+1/2,y,z'
'-y,-x,-z'
'y,x,z'
'-x,y+1/2,-z'
'x,-y+1/2,z'
'y+1/2,x+1/2,-z'
'-y+1/2,-x+1/2,z'
loop_
_atom_site_label
_atom_site_type_symbol
_atom_site_fract_x
_atom_site_fract_y
_atom_site_fract_z
_atom_site_occupancy
Dy1 Dy 0.2500 0.2500 0.0905 1
Bi1 Bi 0.2500 0.7500 0.5000 1
As1 As 0.2500 0.2500 0.7382 1
O1 O 0.2500 0.7500 0.0000 1
# **Crystal system**: tetragonal
# **Distance to the lowest polymorph of the same formula**: 0 meV per atom

# DyBiAsO, optimized geometry, DFT PBE-GGA
data_DyBiAsO
_cell_length_a 4.8612
_cell_length_b 4.8612
_cell_length_c 7.3904
_cell_angle_alpha 90.00
_cell_angle_beta 90.00
_cell_angle_gamma 90.00
_symmetry_space_group_name_H-M 'P 4/n m m'
_symmetry_Int_Tables_number 129
loop_
_symmetry_equiv_pos_as_xyz
'x,y,z'
'-x,-y,-z'
'-y+1/2,x,z'
'y+1/2,-x,-z'
'-x+1/2,-y+1/2,z'
'x+1/2,y+1/2,-z'
'y,-x+1/2,z'
'-y,x+1/2,-z'
'x+1/2,-y,-z'
'-x+1/2,y,z'
'-y,-x,-z'
'y,x,z'
'-x,y+1/2,-z'
'x,-y+1/2,z'
'y+1/2,x+1/2,-z'
'-y+1/2,-x+1/2,z'
loop_
_atom_site_label
_atom_site_type_symbol
_atom_site_fract_x
_atom_site_fract_y
_atom_site_fract_z
_atom_site_occupancy
Dy1 Dy 0.2500 0.7500 0.0000 1
Bi1 Bi 0.2500 0.2500 0.4242 1
As1 As 0.2500 0.2500 0.8125 1
O1 O 0.2500 0.7500 0.5000 1
# **Crystal system**: tetragonal
# **Distance to the lowest polymorph of the same formula**: 589 meV per atom

# DyBiAsO, optimized geometry, DFT PBE-GGA
data_DyBiAsO
_cell_length_a 4.9046
_cell_length_b 6.4447
_cell_length_c 6.4517
_cell_angle_alpha 90.00
_cell_angle_beta 90.00
_cell_angle_gamma 90.00
_symmetry_space_group_name_H-M 'P m c 21'
_symmetry_Int_Tables_number 26
_symmetry_space_group_name_Hall 'P 2c -2'
loop_
_atom_site_label
_atom_site_type_symbol
_atom_site_fract_x
_atom_site_fract_y
_atom_site_fract_z
_atom_site_occupancy
Dy1 Dy 0.0000 0.1552 0.0000 1
Bi1 Bi 0.5000 0.2467 0.3759 1
As1 As 0.5000 0.3110 0.8337 1
O1 O 0.0000 0.1332 0.3339 1
# **Crystal system**: orthorhombic
# **Distance to the lowest polymorph of the same formula**: 142 meV per atom

# DyBiAsO, optimized geometry, DFT PBE-GGA
data_DyBiAsO
_cell_length_a 3.9357
_cell_length_b 8.3469
_cell_length_c 6.1082
_cell_angle_alpha 90.00
_cell_angle_beta 90.00
_cell_angle_gamma 90.00
_symmetry_space_group_name_H-M 'P m c 21'
_symmetry_Int_Tables_number 26
_symmetry_space_group_name_Hall 'P 2c -2'
loop_
_atom_site_label
_atom_site_type_symbol
_atom_site_fract_x
_atom_site_fract_y
_atom_site_fract_z
_atom_site_occupancy
Dy1 Dy 0.0000 0.1592 0.0000 1
Bi1 Bi 0.5000 0.4238 0.5104 1
As1 As 0.0000 0.1863 0.5010 1
O1 O 0.5000 0.2529 0.0017 1
# **Crystal system**: orthorhombic
# **Distance to the lowest polymorph of the same formula**: 62 meV per atom

# Er3BiAs2, optimized geometry, DFT PBE-GGA
data_Er3BiAs2
_cell_length_a 4.1551
_cell_length_b 4.1551
_cell_length_c 10.4261
_cell_angle_alpha 90.00
_cell_angle_beta 90.00
_cell_angle_gamma 120.00
_symmetry_space_group_name_H-M 'P -3 m 1'
_symmetry_Int_Tables_number 164
_symmetry_space_group_name_Hall '-P 3 2"'
loop_
_atom_site_label
_atom_site_type_symbol
_atom_site_fract_x
_atom_site_fract_y
_atom_site_fract_z
_atom_site_occupancy
Er1 Er 0.0000 0.0000 0.0000 1
Er2 Er 0.3333 0.6667 0.6907 1
Bi1 Bi 0.0000 0.0000 0.5000 1
As1 As 0.3333 0.6667 0.1575 1
# **Electronic total energy**: -0.425 Ry per atom
# **Crystal system**: trigonal

# Er3Bi2As, optimized geometry, DFT PBE-GGA
data_Er3Bi2As
_cell_length_a 4.2826
_cell_length_b 4.2826
_cell_length_c 10.6792
_cell_angle_alpha 90.00
_cell_angle_beta 90.00
_cell_angle_gamma 120.00
_symmetry_space_group_name_H-M 'P -3 m 1'
_symmetry_Int_Tables_number 164
_symmetry_space_group_name_Hall '-P 3 2"'
loop_
_atom_site_label
_atom_site_type_symbol
_atom_site_fract_x
_atom_site_fract_y
_atom_site_fract_z
_atom_site_occupancy
Er1 Er 0.0000 0.0000 0.0000 1
Er2 Er 0.3333 0.6667 0.6460 1
Bi1 Bi 0.3333 0.6667 0.1751 1
As1 As 0.0000 0.0000 0.5000 1
# **Electronic total energy**: -0.400 Ry per atom
# **Crystal system**: trigonal

no.,magnetization (μB per formula unit)
1,0.0
2,0.0
3,0.0
4,0.0
5,0.0
6,0.0